(1)
Entry from the Alexandria database: a geometry-optimized Cs2BaSnSe4 structure (PBE).

```
data_Cs2BaSnSe4
_cell_length_a 7.300
_cell_length_b 15.396
_cell_length_c 28.223
_cell_angle_alpha 90.00
_cell_angle_beta 90.00
_cell_angle_gamma 90.00
_symmetry_space_group_name_H-M 'F d d d'
_symmetry_Int_Tables_number 70
loop_
_symmetry_equiv_pos_as_xyz
'x,y,z'
'-x,-y,-z'
'-x+1/4,-y+1/4,z'
'x+1/4,y+1/4,-z'
'x,-y+1/4,-z+1/4'
'-x,y+1/4,z+1/4'
'-x+1/4,y,-z+1/4'
'x+1/4,-y,z+1/4'
'x,y+1/2,z+1/2'
'-x,-y+1/2,-z+1/2'
'-x+1/4,-y+3/4,z+1/2'
'x+1/4,y+3/4,-z+1/2'
'x,-y+3/4,-z+3/4'
'-x,y+3/4,z+3/4'
'-x+1/4,y+1/2,-z+3/4'
'x+1/4,-y+1/2,z+3/4'
'x+1/2,y,z+1/2'
'-x+1/2,-y,-z+1/2'
'-x+3/4,-y+1/4,z+1/2'
'x+3/4,y+1/4,-z+1/2'
'x+1/2,-y+1/4,-z+3/4'
'-x+1/2,y+1/4,z+3/4'
'-x+3/4,y,-z+3/4'
'x+3/4,-y,z+3/4'
'x+1/2,y+1/2,z'
'-x+1/2,-y+1/2,-z'
'-x+3/4,-y+3/4,z'
'x+3/4,y+3/4,-z'
'x+1/2,-y+3/4,-z+1/4'
'-x+1/2,y+3/4,z+1/4'
'-x+3/4,y+1/2,-z+1/4'
'x+3/4,-y+1/2,z+1/4'
loop_
_atom_site_label
_atom_site_type_symbol
_atom_site_fract_x
_atom_site_fract_y
_atom_site_fract_z
Cs1 Cs 0.125 0.125 0.315
Ba1 Ba 0.125 0.125 0.125
Sn1 Sn 0.125 0.125 0.625
Se1 Se 0.068 0.270 0.824
```

Formation energy without anion corrections, meV/atom: -1040

***

(2)
Entry from the Alexandria database: a geometry-optimized OsRhSCl2 structure (PBE).

```
data_OsRhSCl2
_cell_length_a 4.917
_cell_length_b 4.917
_cell_length_c 4.384
_cell_angle_alpha 90.00
_cell_angle_beta 90.00
_cell_angle_gamma 90.00
_symmetry_space_group_name_H-M 'P 4/m m m'
_symmetry_Int_Tables_number 123
_symmetry_space_group_name_Hall '-P 4 2'
loop_
_atom_site_label
_atom_site_type_symbol
_atom_site_fract_x
_atom_site_fract_y
_atom_site_fract_z
Os1 Os 0.000 0.000 0.000
Rh1 Rh 0.500 0.500 0.500
S1 S 0.000 0.000 0.500
Cl1 Cl 0.000 0.500 0.000
```

N(E_F), states/eV/cell: 11.1
Energy above the most stable polymorph in this dataset, meV per atom: 0.0
Formation energy without anion corrections, meV/atom: 877

***

(3)
Entry from the Alexandria database: a geometry-optimized SrAuCl4 structure (PBE).

```
data_SrAuCl4
_cell_length_a 8.486
_cell_length_b 8.486
_cell_length_c 8.486
_cell_angle_alpha 90.00
_cell_angle_beta 90.00
_cell_angle_gamma 90.00
_symmetry_space_group_name_H-M 'F -4 3 m'
_symmetry_Int_Tables_number 216
_symmetry_space_group_name_Hall 'F -4 2 3'
loop_
_atom_site_label
_atom_site_type_symbol
_atom_site_fract_x
_atom_site_fract_y
_atom_site_fract_z
Sr1 Sr 0.000 0.000 0.000
Au1 Au 0.250 0.250 0.750
Cl1 Cl 0.125 0.125 0.375
```

N(E_F), states/eV/cell: 16.6
Energy above the most stable polymorph in this dataset, meV per atom: 974.9
Formation energy without anion corrections, meV/atom: -318

***

(4)
Entry from the Alexandria database: a geometry-optimized Cu2PbAu structure (PBE).

```
data_Cu2PbAu
_cell_length_a 8.433
_cell_length_b 3.957
_cell_length_c 4.807
_cell_angle_alpha 90.00
_cell_angle_beta 109.60
_cell_angle_gamma 90.00
_symmetry_space_group_name_H-M 'C 1 2/m 1'
_symmetry_Int_Tables_number 12
_symmetry_space_group_name_Hall '-C 2y'
loop_
_atom_site_label
_atom_site_type_symbol
_atom_site_fract_x
_atom_site_fract_y
_atom_site_fract_z
Cu1 Cu 0.227 0.000 0.155
Pb1 Pb 0.000 0.000 0.500
Au1 Au 0.000 0.500 0.000
```

N(E_F), states/eV/cell: 2.7
Energy of formation from the pure elements, eV/atom: 0.15

***

(5)
Entry from the Alexandria database: a geometry-optimized ThVSe2 structure (PBE).

```
data_ThVSe2
_cell_length_a 3.3767
_cell_length_b 3.3767
_cell_length_c 27.7719
_cell_angle_alpha 90.00
_cell_angle_beta 90.00
_cell_angle_gamma 120.00
_symmetry_space_group_name_H-M 'R -3 m'
_symmetry_Int_Tables_number 166
_symmetry_space_group_name_Hall '-R 3 2"'
loop_
_atom_site_label
_atom_site_type_symbol
_atom_site_fract_x
_atom_site_fract_y
_atom_site_fract_z
Th1 Th 0.0000 0.0000 0.0000
V1 V 0.0000 0.0000 0.5000
Se1 Se 0.0000 0.0000 0.1097
```

N(E_F), states/eV/cell: 16.7
Formation energy without anion corrections, meV/atom: -493

***

(6)
Entry from the Alexandria database: a geometry-optimized Ac5GaTe8 structure (PBE).

```
data_Ac5GaTe8
_cell_length_a 9.968
_cell_length_b 9.968
_cell_length_c 9.988
_cell_angle_alpha 90.00
_cell_angle_beta 90.00
_cell_angle_gamma 90.00
_symmetry_space_group_name_H-M 'I -4'
_symmetry_Int_Tables_number 82
_symmetry_space_group_name_Hall 'I -4'
loop_
_atom_site_label
_atom_site_type_symbol
_atom_site_fract_x
_atom_site_fract_y
_atom_site_fract_z
Ac1 Ac 0.000 0.000 0.000
Ac2 Ac 0.128 0.752 0.622
Ga1 Ga 0.000 0.500 0.250
Te1 Te 0.075 0.825 0.295
Te2 Te 0.077 0.676 0.945
```

Formation energy without anion corrections, meV/atom: -1458

***

(7)
Entry from the Alexandria database: a geometry-optimized Na3HS structure (PBE).

```
data_Na3HS
_cell_length_a 6.409
_cell_length_b 10.733
_cell_length_c 5.883
_cell_angle_alpha 90.00
_cell_angle_beta 90.00
_cell_angle_gamma 90.00
_symmetry_space_group_name_H-M 'C m c m'
_symmetry_Int_Tables_number 63
_symmetry_space_group_name_Hall '-C 2c 2'
loop_
_atom_site_label
_atom_site_type_symbol
_atom_site_fract_x
_atom_site_fract_y
_atom_site_fract_z
Na1 Na 0.000 0.234 0.250
Na2 Na 0.248 0.000 0.000
H1 H 0.000 0.028 0.250
S1 S 0.000 0.334 0.750
```

N(E_F), states/eV/cell: 0.0
Energy above the most stable polymorph in this dataset, meV per atom: 92.9

***

(8)
Entry from the Alexandria database: a geometry-optimized Ba2Cd5Hg3 structure (PBE).

```
data_Ba2Cd5Hg3
_cell_length_a 12.831
_cell_length_b 13.590
_cell_length_c 6.749
_cell_angle_alpha 90.00
_cell_angle_beta 90.00
_cell_angle_gamma 90.00
_symmetry_space_group_name_H-M 'I b a m'
_symmetry_Int_Tables_number 72
_symmetry_space_group_name_Hall '-I 2 2c'
loop_
_atom_site_label
_atom_site_type_symbol
_atom_site_fract_x
_atom_site_fract_y
_atom_site_fract_z
Ba1 Ba 0.240 0.124 0.000
Cd1 Cd 0.000 0.268 0.250
Cd2 Cd 0.000 0.500 0.250
Cd3 Cd 0.124 0.135 0.500
Hg1 Hg 0.000 0.000 0.250
Hg2 Hg 0.150 0.383 0.000
```

N(E_F), states/eV/cell: 22.6
Energy of formation from the pure elements, eV/atom: -0.31

***

(9)
Entry from the Alexandria database: a geometry-optimized MgBiPt2 structure (PBE).

```
data_MgBiPt2
_cell_length_a 3.352
_cell_length_b 3.352
_cell_length_c 6.736
_cell_angle_alpha 90.00
_cell_angle_beta 90.00
_cell_angle_gamma 90.00
_symmetry_space_group_name_H-M 'P 4/m m m'
_symmetry_Int_Tables_number 123
_symmetry_space_group_name_Hall '-P 4 2'
loop_
_atom_site_label
_atom_site_type_symbol
_atom_site_fract_x
_atom_site_fract_y
_atom_site_fract_z
Mg1 Mg 0.000 0.000 0.000
Bi1 Bi 0.000 0.000 0.500
Pt1 Pt 0.500 0.500 0.215
```

N(E_F), states/eV/cell: 1.7
Energy of formation from the pure elements, eV/atom: -0.43

***

(10)
Entry from the Alexandria database: a geometry-optimized Tl2NiCl structure (PBE).

```
data_Tl2NiCl
_cell_length_a 6.687
_cell_length_b 3.867
_cell_length_c 7.763
_cell_angle_alpha 90.00
_cell_angle_beta 106.47
_cell_angle_gamma 90.00
_symmetry_space_group_name_H-M 'C 1 2/m 1'
_symmetry_Int_Tables_number 12
_symmetry_space_group_name_Hall '-C 2y'
loop_
_atom_site_label
_atom_site_type_symbol
_atom_site_fract_x
_atom_site_fract_y
_atom_site_fract_z
Tl1 Tl 0.233 0.000 0.202
Ni1 Ni 0.000 0.500 0.000
Cl1 Cl 0.000 0.000 0.500
```

N(E_F), states/eV/cell: 2.1
Energy above the most stable polymorph in this dataset, meV per atom: 52.1
Formation energy without anion corrections, meV/atom: -74

***

(11)
Entry from the Alexandria database: a geometry-optimized Ta2PtAu structure (PBE).

```
data_Ta2PtAu
_cell_length_a 7.430
_cell_length_b 7.430
_cell_length_c 5.459
_cell_angle_alpha 90.00
_cell_angle_beta 90.00
_cell_angle_gamma 90.00
_symmetry_space_group_name_H-M 'I -4 2 d'
_symmetry_Int_Tables_number 122
_symmetry_space_group_name_Hall 'I -4 2bw'
loop_
_atom_site_label
_atom_site_type_symbol
_atom_site_fract_x
_atom_site_fract_y
_atom_site_fract_z
Ta1 Ta 0.226 0.250 0.125
Pt1 Pt 0.000 0.000 0.000
Au1 Au 0.000 0.000 0.500
```

N(E_F), states/eV/cell: 15.3
Energy of formation from the pure elements, eV/atom: 0.16

***

(12)
Entry from the Alexandria database: a geometry-optimized BeSi3As structure (PBE).

```
data_BeSi3As
_cell_length_a 4.759
_cell_length_b 4.759
_cell_length_c 4.759
_cell_angle_alpha 90.00
_cell_angle_beta 90.00
_cell_angle_gamma 90.00
_symmetry_space_group_name_H-M 'P m -3 m'
_symmetry_Int_Tables_number 221
_symmetry_space_group_name_Hall '-P 4 2 3'
loop_
_atom_site_label
_atom_site_type_symbol
_atom_site_fract_x
_atom_site_fract_y
_atom_site_fract_z
Be1 Be 0.000 0.000 0.000
Si1 Si 0.000 0.500 0.500
As1 As 0.500 0.500 0.500
```

N(E_F), states/eV/cell: 2.9
Energy above the most stable polymorph in this dataset, meV per atom: 783.1
Formation energy without anion corrections, meV/atom: 1453